No. 1
Computed, not measured: a PBEsol-optimized structure of In at the SCAN level of DFT.

a b c (Å): 4.9642 4.9642 5.7978
angles (deg): 90.00 90.00 120.00
Closest atoms and distances in Å follow each position.
Space group P6_3/mmc (No. 194)
One atom of each set of equivalent atoms:
1 In 0.0000 0.0000 0.2500 x2  5 In 2.87-2.90
2 In 0.3333 0.6667 0.2500 x2  3 In 2.87

Values from the calculation:
- E (eV for the cell shown) = -132.97
- energy above the lowest structure with this stoichiometry (eV/atom) = 0.144
- energy of formation from the pure elements (eV/atom) = 0.1440

***

No. 2
Computed, not measured: a PBEsol-optimized structure of Rb3NbO8 at the SCAN level of DFT.

a b c (Å): 7.0759 7.0759 7.9355
angles (deg): 90.00 90.00 90.00
Closest atoms and distances in Å follow each position.
Space group I-42m (No. 121)
One atom of each set of equivalent atoms:
1 Rb 0.0000 0.0000 0.0000 x2  8 O 2.84-2.94
2 Rb 0.0000 0.5000 0.2500 x4  8 O 2.79-3.12
3 Nb 0.0000 0.0000 0.5000 x2  8 O 2.02-2.08
4 O 0.1376 0.1376 0.3129 x8  1 O 1.49
5 O 0.2069 0.2069 0.4786 x8  1 O 1.49

Values from the calculation:
- E (eV for the cell shown) = -326.59
- ΔE_f (raw) (eV/atom) = -1.51

***

No. 3
Computed, not measured: a PBEsol-optimized structure of SrScPb2 at the SCAN level of DFT.

a b c (Å): 5.5692 5.5692 3.6353
angles (deg): 90.00 90.00 90.00
Closest atoms and distances in Å follow each position.
Space group P4mm (No. 99)
One atom of each set of equivalent atoms:
1 Sr 0.0000 0.0000 0.0000 x1  8 Pb 3.29-3.37, 2 Sr 3.64
2 Sc 0.5000 0.5000 0.8786 x1  4 Pb 3.14
3 Pb 0.0000 0.5000 0.4798 x2  2 Sc 3.14, 4 Sr 3.29-3.37

Values from the calculation:
- E (eV for the cell shown) = -190.05
- energy of formation from the pure elements (eV/atom) = -0.4943

***

No. 4
Computed, not measured: a PBEsol-optimized structure of MnMo2W at the SCAN level of DFT.

a b c (Å): 3.1263 4.3374 8.4894
angles (deg): 90.00 90.00 90.00
Closest atoms and distances in Å follow each position.
Space group Cmmm (No. 65)
One atom of each set of equivalent atoms:
1 Mn 0.0000 0.0000 0.0000 x2  4 Mo 2.53, 4 Mn 2.67
2 Mo 0.0000 0.5000 0.2349 x4  2 Mn 2.53, 4 Mo 2.67, 2 W 2.74
3 W 0.0000 0.0000 0.5000 x2  4 W 2.67, 4 Mo 2.74

Values from the calculation:
- E (eV for the cell shown) = -315.06
- energy above the lowest structure with this stoichiometry (eV/atom) = 0.000
- energy of formation from the pure elements (eV/atom) = 0.0458

***

No. 5
Computed, not measured: a PBEsol-optimized structure of SbOsRhAu2 at the SCAN level of DFT.

a b c (Å): 4.9725 4.9725 4.5657
angles (deg): 90.00 90.00 90.00
Closest atoms and distances in Å follow each position.
Space group P4/mmm (No. 123)
One atom of each set of equivalent atoms:
1 Sb 0.0000 0.0000 0.0000 x1  8 Au 3.38, 4 Rh 3.52
2 Os 0.5000 0.5000 0.5000 x1  2 Rh 2.28, 4 Au 2.49
3 Rh 0.5000 0.5000 0.0000 x1  2 Os 2.28
4 Au 0.0000 0.5000 0.5000 x2  2 Os 2.49

Values from the calculation:
- E (eV for the cell shown) = -275.12
- ΔE_f (raw) (eV/atom) = 1.22

***

No. 6
Computed, not measured: a PBEsol-optimized structure of Cu2BiTeN at the SCAN level of DFT.

a b c (Å): 4.8608 4.8608 6.1171
angles (deg): 90.00 90.00 90.00
Closest atoms and distances in Å follow each position.
Space group P4/mmm (No. 123)
One atom of each set of equivalent atoms:
1 Cu 0.0000 0.5000 0.0000 x2  2 Bi 2.43
2 Bi 0.0000 0.0000 0.0000 x1  4 Cu 2.43
3 Te 0.0000 0.0000 0.5000 x1  2 Bi 3.06
4 N 0.5000 0.5000 0.5000 x1  4 Te 3.44

Values from the calculation:
- E (eV for the cell shown) = -147.43
- ΔE_f (raw) (eV/atom) = 1.62

***

No. 7
Computed, not measured: a PBEsol-optimized structure of TaSbCl2 at the SCAN level of DFT.

a b c (Å): 6.6482 6.6482 6.6482
angles (deg): 90.00 90.00 90.00
Closest atoms and distances in Å follow each position.
Space group Fm-3m (No. 225)
One atom of each set of equivalent atoms:
1 Ta 0.0000 0.0000 0.0000 x4  8 Cl 2.88
2 Sb 0.0000 0.0000 0.5000 x4  8 Cl 2.88
3 Cl 0.2500 0.2500 0.2500 x8  4 Ta 2.88, 4 Sb 2.88

Values from the calculation:
- E (eV for the cell shown) = -468.29
- ΔE_f (raw) (eV/atom) = 0.68
- energy above the lowest structure with this stoichiometry (eV/atom) = 0.838

***

No. 8
Computed, not measured: a PBEsol-optimized structure of Li2PPt at the SCAN level of DFT.

a b c (Å): 4.0055 4.0055 12.4532
angles (deg): 90.00 90.00 120.00
Closest atoms and distances in Å follow each position.
Space group R3m (No. 160, hexagonal axes)
One atom of each set of equivalent atoms:
1 Li 0.0000 0.0000 0.0000 x3  4 Li 2.68-2.80, 3 P 2.69, 4 Pt 2.71-2.74
2 Li 0.0000 0.0000 0.2251 x3  4 Li 2.68-2.80, 3 Pt 2.70, 4 P 2.72
3 P 0.0000 0.0000 0.4434 x3  3 Pt 2.31
4 Pt 0.0000 0.0000 0.7802 x3  3 P 2.31

Values from the calculation:
- E (eV for the cell shown) = -266.48
- energy of formation from the pure elements (eV/atom) = -0.8636

***

No. 9
Computed, not measured: a PBEsol-optimized structure of KH3Au at the SCAN level of DFT.

a b c (Å): 8.1598 11.8923 5.7043
angles (deg): 90.00 90.18 90.00
Closest atoms and distances in Å follow each position.
Space group C2/c (No. 15)
One atom of each set of equivalent atoms:
1 K 0.2450 0.1138 0.2499 x8  7 H 2.71-2.89
2 H 0.9995 0.0615 0.5541 x8  1 H 1.59, 1 Au 1.65
3 H 0.9995 0.2613 0.5365 x8  1 Au 1.69
4 H 0.2044 0.3782 0.2506 x8  1 Au 1.67
5 Au 0.0000 0.1632 0.7500 x4  4 H 1.65-1.69
6 Au 0.0000 0.3734 0.2500 x4  2 H 1.67

Values from the calculation:
- E (eV for the cell shown) = -712.96
- energy above the lowest structure with this stoichiometry (eV/atom) = 0.000

***

No. 10
Computed, not measured: a PBEsol-optimized structure of AgAsBr2 at the SCAN level of DFT.

a b c (Å): 3.4746 3.4746 25.2435
angles (deg): 90.00 90.00 120.00
Closest atoms and distances in Å follow each position.
Space group R-3m (No. 166, hexagonal axes)
One atom of each set of equivalent atoms:
1 Ag 0.0000 0.0000 0.0000 x3  6 Br 2.78
2 As 0.0000 0.0000 0.5000 x3  6 Br 3.03
3 Br 0.0000 0.0000 0.2569 x6  3 Ag 2.78, 3 As 3.03

Values from the calculation:
- E (eV for the cell shown) = -268.39
- ΔE_f (raw) (eV/atom) = 0.25
- energy above the lowest structure with this stoichiometry (eV/atom) = 0.120

***

No. 11
Computed, not measured: a PBEsol-optimized structure of Na7Cu7O13 at the SCAN level of DFT.

a b c (Å): 6.6529 6.7374 7.5432
angles (deg): 99.14 99.88 101.84
Closest atoms and distances in Å follow each position.
Space group P1 (No. 1)
One atom of each set of equivalent atoms:
1 Na 0.0000 0.0000 0.0000 x1  5 O 2.30-2.35
2 Na 0.1288 0.1394 0.7137 x1  6 O 2.34-2.39
3 Na 0.2699 0.2808 0.4277 x1  6 O 2.31-2.39
4 Na 0.4151 0.4280 0.1480 x1  6 O 2.35-2.40
5 Na 0.5549 0.5456 0.8486 x1  5 O 2.27-2.37
6 Na 0.7020 0.7095 0.5733 x1  6 O 2.34-2.38
7 Na 0.8492 0.8481 0.2971 x1  5 O 2.29-2.35
8 Cu 0.1330 0.6421 0.7183 x1  4 O 1.82-1.85
9 Cu 0.2789 0.7843 0.4292 x1  4 O 1.82-1.85
10 Cu 0.4158 0.9311 0.1422 x1  3 O 1.77-1.89
11 Cu 0.5539 0.0660 0.8610 x1  3 O 1.77-1.89
12 Cu 0.6989 0.2012 0.5730 x1  4 O 1.81-1.85
13 Cu 0.8407 0.3509 0.2860 x1  4 O 1.82-1.85
14 Cu 0.9876 0.4978 0.0027 x1  4 O 1.83
15 O 0.0567 0.3373 0.1669 x1  2 Cu 1.83
16 O 0.0611 0.7941 0.5496 x1  2 Cu 1.82-1.84
17 O 0.1914 0.9357 0.2657 x1  2 Cu 1.82-1.89
18 O 0.2059 0.4862 0.8856 x1  2 Cu 1.83
19 O 0.3468 0.0801 0.9780 x1  2 Cu 1.77
20 O 0.3497 0.6283 0.5993 x1  2 Cu 1.83-1.84
21 O 0.4786 0.2179 0.6808 x1  2 Cu 1.81-1.89
22 O 0.4972 0.7733 0.3089 x1  2 Cu 1.85
23 O 0.6274 0.3618 0.4069 x1  2 Cu 1.82-1.85
24 O 0.7690 0.5112 0.1194 x1  2 Cu 1.83-1.85
25 O 0.7762 0.0491 0.7458 x1  2 Cu 1.85
26 O 0.9144 0.1925 0.4508 x1  2 Cu 1.83-1.84
27 O 0.9145 0.6561 0.8378 x1  2 Cu 1.83-1.85

Values from the calculation:
- E (eV for the cell shown) = -247.89
- ΔE_f (raw) (eV/atom) = -1.15

***

No. 12
Computed, not measured: a PBEsol-optimized structure of Li2VO3 at the SCAN level of DFT.

a b c (Å): 4.9126 4.9127 5.0277
angles (deg): 99.65 99.53 119.98
Closest atoms and distances in Å follow each position.
Space group P-1 (No. 2)
One atom of each set of equivalent atoms:
1 Li 0.0000 0.0000 0.0000 x1  6 O 2.04
2 Li 0.1595 0.8418 0.5007 x2  6 O 2.05-2.12
3 Li 0.5000 0.5000 0.5000 x1  6 O 2.02-2.12
4 V 0.3279 0.6695 0.9999 x2  6 O 1.90-1.95
5 O 0.0754 0.4268 0.2314 x2  2 V 1.90-1.94, 4 Li 2.04-2.12
6 O 0.2764 0.2769 0.7734 x2  2 V 1.94-1.95, 4 Li 2.02-2.08
7 O 0.4266 0.0744 0.2301 x2  2 V 1.90-1.95, 4 Li 2.04-2.12

Values from the calculation:
- E (eV for the cell shown) = -112.26
- ΔE_f (raw) (eV/atom) = -2.53

***

| no. | V (Å³ per cell) |
| --- | --- |
| 1 | 123.7 |
| 2 | 397.3 |
| 3 | 112.8 |
| 4 | 115.1 |
| 5 | 112.9 |
| 6 | 144.5 |
| 7 | 293.8 |
| 8 | 173.0 |
| 9 | 553.5 |
| 10 | 263.9 |
| 11 | 319.3 |
| 12 | 99.1 |